A geometry-optimized K2Re2Se5 structure. Source: OQMD via LeMat-Bulk, functional PBE-GGA.

Properties
E_tot	-5.41	eV/atom
symmetry	C2/c

Unit cell a=6.5676 b=6.5676 c=11.8990 alpha=107.31 beta=107.31 gamma=76.22
Fractional positions:
K 0.0609 0.3936 0.3183
K 0.3936 0.0609 0.8183
K 0.6064 0.9391 0.1817
K 0.9391 0.6064 0.6817
Re 0.2128 0.5485 0.0461
Re 0.4515 0.7872 0.4539
Re 0.5485 0.2128 0.5461
Re 0.7872 0.4515 0.9539
Se 0.1200 0.2111 0.0342
Se 0.2111 0.1200 0.5342
Se 0.2170 0.7830 0.2500
Se 0.3797 0.6119 0.8991
Se 0.3881 0.6203 0.6009
Se 0.6119 0.3797 0.3991
Se 0.6203 0.3881 0.1009
Se 0.7830 0.2170 0.7500
Se 0.7889 0.8800 0.4658
Se 0.8800 0.7889 0.9658